1.
Material: LaTcOs
Method: DFT, PBE-GGA
State: relaxed

a b c (Å): 2.8950 2.8950 7.7477
angles (deg): 90.00 90.00 120.00
Element x y z (fractional)
La 0.0000 0.0000 0.0000
Tc 0.6667 0.3333 0.6255
Os 0.3333 0.6667 0.3692

Computed properties:
SG: No. 156
Distance to the lowest polymorph of the same formula in meV/atom: 524.7


2.
Material: LaTc4Os
Method: DFT, PBE-GGA
State: relaxed

a b c (Å): 5.2903 5.2903 5.2903
angles (deg): 60.00 60.00 60.00
Element x y z (fractional)
La 0.0000 0.0000 0.0000
Tc 0.3750 0.3750 0.3750
Tc 0.3750 0.3750 0.8749
Tc 0.3750 0.8749 0.3750
Tc 0.8749 0.3750 0.3750
Os 0.7500 0.7500 0.7500

Computed properties:
SG: No. 216
Total energy in eV per atom: -9.114


3.
Material: La2TcOs
Method: DFT, PBE-GGA
State: relaxed

a b c (Å): 9.0000 9.0000 9.0000
angles (deg): 22.41 22.41 22.41
Element x y z (fractional)
La 0.2502 0.2502 0.2502
La 0.7498 0.7498 0.7498
Tc 0.5000 0.5000 0.5000
Os 0.0000 0.0000 0.0000

Computed properties:
SG: No. 166
Distance to the lowest polymorph of the same formula in meV/atom: 412.2


4.
Material: LaTc2Os
Method: DFT, PBE-GGA
State: relaxed

a b c (Å): 3.1057 4.7346 4.8769
angles (deg): 90.00 90.00 90.00
Element x y z (fractional)
La 0.0000 0.0000 0.0000
Tc 0.0000 0.5000 0.5000
Tc 0.5000 0.5000 0.0000
Os 0.5000 0.0000 0.5000

Computed properties:
SG: No. 47
Distance to the lowest polymorph of the same formula in meV/atom: 314.8


5.
Material: LaTc2Os
Method: DFT, PBE-GGA
State: relaxed

a b c (Å): 2.8876 2.8876 8.5743
angles (deg): 90.00 90.00 90.00
Element x y z (fractional)
La 0.0000 0.0000 0.0000
Tc 0.5000 0.5000 0.2965
Tc 0.5000 0.5000 0.7035
Os 0.0000 0.0000 0.5000

Computed properties:
SG: No. 123
Distance to the lowest polymorph of the same formula in meV/atom: 72.6


6.
Material: LaTc2Os2
Method: DFT, PBE-GGA
State: relaxed

a b c (Å): 7.8785 7.8785 2.7961
angles (deg): 90.00 90.00 90.00
Element x y z (fractional)
La 0.0000 0.0000 0.0000
La 0.5000 0.5000 0.0000
Tc 0.1177 0.3823 0.0000
Tc 0.3823 0.8823 0.0000
Tc 0.6177 0.1177 0.0000
Tc 0.8823 0.6177 0.0000
Os 0.1686 0.6686 0.5000
Os 0.3314 0.1686 0.5000
Os 0.6686 0.8314 0.5000
Os 0.8314 0.3314 0.5000

Computed properties:
SG: No. 127
Distance to the lowest polymorph of the same formula in meV/atom: 153.1


7.
Material: LaTc2Os
Method: DFT, PBE-GGA
State: relaxed

a b c (Å): 6.0628 6.0628 6.0628
angles (deg): 103.69 103.69 121.78
Element x y z (fractional)
La 0.0000 0.0000 0.0000
La 0.7500 0.2500 0.5000
Tc 0.1871 0.6250 0.0621
Tc 0.3750 0.4371 0.5621
Tc 0.5629 0.1250 0.9379
Tc 0.8750 0.8129 0.4379
Os 0.2500 0.7500 0.5000
Os 0.5000 0.5000 0.0000

Computed properties:
SG: No. 122
Distance to the lowest polymorph of the same formula in meV/atom: 330.3


8.
Material: La3TcOs
Method: DFT, PBE-GGA
State: relaxed

a b c (Å): 5.2789 5.2789 5.2789
angles (deg): 90.00 90.00 90.00
Element x y z (fractional)
La 0.0000 0.0000 0.5000
La 0.0000 0.5000 0.0000
La 0.5000 0.0000 0.0000
Tc 0.0000 0.0000 0.0000
Os 0.5000 0.5000 0.5000

Computed properties:
SG: No. 221
Distance to the lowest polymorph of the same formula in meV/atom: 0.0


| no. | DOS at the Fermi energy (states/eV/cell) | volume (Å³ per cell) |
| --- | --- | --- |
| 1 | 2.375 | 56.2 |
| 2 | 10.248 | 104.7 |
| 3 | 6.278 | 92.9 |
| 4 | 5.337 | 71.7 |
| 5 | 4.945 | 71.5 |
| 6 | 12.063 | 173.6 |
| 7 | 12.073 | 165.5 |
| 8 | 5.150 | 147.1 |